# 1
## Na6Cd2Pd (PBE-GGA)

Data for a relaxed structure of Na6Cd2Pd.

It has space group R-3m (No. 166, hexagonal axes), with a = 5.3072 Å, b = 5.3072 Å, c = 30.9850 Å, α = 90.00°, β = 90.00° and γ = 120.00°. The distinct sites, in fractional coordinates, are Na at (0.0000, 0.0000, 0.0853), Na at (0.0000, 0.0000, 0.1928), Na at (0.0000, 0.0000, 0.3078), Cd at (0.0000, 0.0000, 0.4129) and Pd at (0.0000, 0.0000, 0.5000).

For the density of states at the Fermi level, the calculation gives 0.31 states/eV/atom. As for the formation energy: -0.075 eV/atom.

***

# 2
## NaCd3Pd4 (PBE-GGA)

Data for a relaxed structure of NaCd3Pd4.

It has space group C2/m (No. 12), with a = 15.5069 Å, b = 4.3486 Å, c = 4.3488 Å, α = 90.00°, β = 106.16° and γ = 90.00°. The distinct sites, in fractional coordinates, are Na at (0.0000, 0.0000, 0.0000), Cd at (0.0000, 0.5000, 0.5000), Cd at (0.2494, 0.0000, 0.2494), Pd at (0.1279, 0.0000, 0.6281) and Pd at (0.1279, 0.5000, 0.1280).

For the density of states at the Fermi level, the calculation gives 0.23 states/eV/atom. As for the formation energy: -0.326 eV/atom.

***

# 3
## Na2CdPd2 (PBE-GGA)

Data for a relaxed structure of Na2CdPd2.

It has space group P4/mbm (No. 127), with a = 6.9159 Å, b = 6.9159 Å, c = 4.5017 Å, α = 90.00°, β = 90.00° and γ = 90.00°. The distinct sites, in fractional coordinates, are Na at (0.1662, 0.3338, 0.0000), Cd at (0.0000, 0.0000, 0.5000) and Pd at (0.1354, 0.6354, 0.5000).

For the density of states at the Fermi level, the calculation gives 0.23 states/eV/atom. As for the formation energy: -0.170 eV/atom.

***

# 4
## Na2CdPd (PBE-GGA)

Data for a relaxed structure of Na2CdPd.

It has space group Amm2 (No. 38), with a = 4.2750 Å, b = 3.0640 Å, c = 14.9746 Å, α = 90.00°, β = 90.00° and γ = 90.00°. The distinct sites, in fractional coordinates, are Na at (0.0000, 0.0000, 0.0000), Na at (0.5000, 0.0000, 0.3355), Cd at (0.0000, 0.0000, 0.1939) and Pd at (0.5000, 0.0000, 0.6315).

For the density of states at the Fermi level, the calculation gives 0.29 states/eV/atom. As for the formation energy: -0.092 eV/atom.

***

Mass density in g cm⁻³, matching the order above: 3.09 9.27 5.73 4.48